(1)
# NaNiC2 | the Alexandria database | PBE-GGA | optimized geometry
# Offset from the most stable computed form   0 meV per atom
# Energy relative to the elements   1.08 eV/atom
# Energy   -84.8 eV/cell
data_NaNiC2
_cell_length_a 3.826
_cell_length_b 3.826
_cell_length_c 12.632
_cell_angle_alpha 90.00
_cell_angle_beta 90.00
_cell_angle_gamma 90.00
_symmetry_space_group_name_H-M 'I 41/a m d'
_symmetry_Int_Tables_number 141
loop_
_symmetry_equiv_pos_as_xyz
'x,y,z'
'-x,-y,-z'
'-y+1/4,x+3/4,z+1/4'
'y+1/4,-x+3/4,-z+1/4'
'-x+1/2,-y,z+1/2'
'x+1/2,y,-z+1/2'
'y+1/4,-x+1/4,z+3/4'
'-y+1/4,x+1/4,-z+3/4'
'x,-y,-z'
'-x,y,z'
'-y+1/4,-x+1/4,-z+3/4'
'y+1/4,x+1/4,z+3/4'
'-x+1/2,y,-z+1/2'
'x+1/2,-y,z+1/2'
'y+1/4,x+3/4,-z+1/4'
'-y+1/4,-x+3/4,z+1/4'
'x+1/2,y+1/2,z+1/2'
'-x+1/2,-y+1/2,-z+1/2'
'-y+3/4,x+1/4,z+3/4'
'y+3/4,-x+1/4,-z+3/4'
'-x,-y+1/2,z'
'x,y+1/2,-z'
'y+3/4,-x+3/4,z+1/4'
'-y+3/4,x+3/4,-z+1/4'
'x+1/2,-y+1/2,-z+1/2'
'-x+1/2,y+1/2,z+1/2'
'-y+3/4,-x+3/4,-z+1/4'
'y+3/4,x+3/4,z+1/4'
'-x,y+1/2,-z'
'x,-y+1/2,z'
'y+3/4,x+1/4,-z+3/4'
'-y+3/4,-x+1/4,z+3/4'
loop_
_atom_site_label
_atom_site_fract_x
_atom_site_fract_y
_atom_site_fract_z
Na1 0.000 0.250 0.375
Ni1 0.000 0.250 0.875
C1 0.000 0.000 0.000


(2)
# NaNiC3 | the Alexandria database | PBE-GGA | optimized geometry
# Offset from the most stable computed form   1771 meV per atom
# Energy relative to the elements   3.95 eV/atom
# Energy   -15.0 eV/cell
data_NaNiC3
_cell_length_a 4.063
_cell_length_b 4.063
_cell_length_c 4.063
_cell_angle_alpha 90.00
_cell_angle_beta 90.00
_cell_angle_gamma 90.00
_symmetry_space_group_name_H-M 'P m -3 m'
_symmetry_Int_Tables_number 221
_symmetry_space_group_name_Hall '-P 4 2 3'
loop_
_atom_site_label
_atom_site_fract_x
_atom_site_fract_y
_atom_site_fract_z
Na1 0.000 0.000 0.000
Ni1 0.500 0.500 0.500
C1 0.000 0.000 0.500


(3)
# NaNi3C | the Alexandria database | PBE-GGA | optimized geometry
# Offset from the most stable computed form   0 meV per atom
# Energy relative to the elements   0.19 eV/atom
# Energy   -26.9 eV/cell
data_NaNi3C
_cell_length_a 3.849
_cell_length_b 3.849
_cell_length_c 3.849
_cell_angle_alpha 90.00
_cell_angle_beta 90.00
_cell_angle_gamma 90.00
_symmetry_space_group_name_H-M 'P m -3 m'
_symmetry_Int_Tables_number 221
_symmetry_space_group_name_Hall '-P 4 2 3'
loop_
_atom_site_label
_atom_site_fract_x
_atom_site_fract_y
_atom_site_fract_z
Na1 0.000 0.000 0.000
Ni1 0.000 0.500 0.500
C1 0.500 0.500 0.500


(4)
# Na3NiC | the Alexandria database | PBE-GGA | optimized geometry
# Offset from the most stable computed form   0 meV per atom
# Energy relative to the elements   1.24 eV/atom
# Energy   -12.7 eV/cell
data_Na3NiC
_cell_length_a 4.872
_cell_length_b 4.872
_cell_length_c 4.872
_cell_angle_alpha 90.00
_cell_angle_beta 90.00
_cell_angle_gamma 90.00
_symmetry_space_group_name_H-M 'P m -3 m'
_symmetry_Int_Tables_number 221
_symmetry_space_group_name_Hall '-P 4 2 3'
loop_
_atom_site_label
_atom_site_fract_x
_atom_site_fract_y
_atom_site_fract_z
Na1 0.000 0.000 0.500
Ni1 0.500 0.500 0.500
C1 0.000 0.000 0.000


(5)
# NaNi3C | the Alexandria database | PBE-GGA | optimized geometry
# Offset from the most stable computed form   2648 meV per atom
# Energy relative to the elements   2.84 eV/atom
# Energy   -13.7 eV/cell
data_NaNi3C
_cell_length_a 4.286
_cell_length_b 4.286
_cell_length_c 4.286
_cell_angle_alpha 90.00
_cell_angle_beta 90.00
_cell_angle_gamma 90.00
_symmetry_space_group_name_H-M 'P m -3 m'
_symmetry_Int_Tables_number 221
_symmetry_space_group_name_Hall '-P 4 2 3'
loop_
_atom_site_label
_atom_site_fract_x
_atom_site_fract_y
_atom_site_fract_z
Na1 0.000 0.000 0.000
Ni1 0.000 0.000 0.500
C1 0.500 0.500 0.500


(6)
# NaNiC | the Alexandria database | PBE-GGA | optimized geometry
# Energy relative to the elements   0.40 eV/atom
# Energy   -60.5 eV/cell
data_NaNiC
_cell_length_a 6.369
_cell_length_b 4.708
_cell_length_c 4.965
_cell_angle_alpha 90.00
_cell_angle_beta 90.13
_cell_angle_gamma 90.00
_symmetry_space_group_name_H-M 'C 1 2/m 1'
_symmetry_Int_Tables_number 12
loop_
_symmetry_equiv_pos_as_xyz
'x,y,z'
'-x,-y,-z'
'-x,y,-z'
'x,-y,z'
'x+1/2,y+1/2,z'
'-x+1/2,-y+1/2,-z'
'-x+1/2,y+1/2,-z'
'x+1/2,-y+1/2,z'
loop_
_atom_site_label
_atom_site_fract_x
_atom_site_fract_y
_atom_site_fract_z
Na1 0.000 0.246 0.000
Ni1 0.186 0.500 0.500
C1 0.000 0.146 0.500


(7)
# NaNiC3 | the Alexandria database | PBE-GGA | optimized geometry
# Offset from the most stable computed form   0 meV per atom
# Energy relative to the elements   2.18 eV/atom
# Energy   -23.9 eV/cell
data_NaNiC3
_cell_length_a 3.788
_cell_length_b 3.788
_cell_length_c 3.788
_cell_angle_alpha 90.00
_cell_angle_beta 90.00
_cell_angle_gamma 90.00
_symmetry_space_group_name_H-M 'P m -3 m'
_symmetry_Int_Tables_number 221
_symmetry_space_group_name_Hall '-P 4 2 3'
loop_
_atom_site_label
_atom_site_fract_x
_atom_site_fract_y
_atom_site_fract_z
Na1 0.000 0.000 0.000
Ni1 0.500 0.500 0.500
C1 0.000 0.500 0.500


(8)
# NaNiC2 | the Alexandria database | PBE-GGA | optimized geometry
# Offset from the most stable computed form   777 meV per atom
# Energy relative to the elements   1.86 eV/atom
# Energy   -72.4 eV/cell
data_NaNiC2
_cell_length_a 5.316
_cell_length_b 5.316
_cell_length_c 5.316
_cell_angle_alpha 90.00
_cell_angle_beta 90.00
_cell_angle_gamma 90.00
_symmetry_space_group_name_H-M 'F m -3 m'
_symmetry_Int_Tables_number 225
_symmetry_space_group_name_Hall '-F 4 2 3'
loop_
_atom_site_label
_atom_site_fract_x
_atom_site_fract_y
_atom_site_fract_z
Na1 0.000 0.000 0.000
Ni1 0.000 0.000 0.500
C1 0.250 0.250 0.250